Record 1
# Cs3Mo2BrO7, relaxed, DFT GGA+U
# DFT total energy	-5.892	eV/atom
# space-group type	P6_3/mmc, No. 194
# crystal system	hexagonal
data_Cs3Mo2BrO7
_space_group_name_H-M_alt 'P 1'
_space_group_IT_number 1
_cell_length_a 6.594
_cell_length_b 6.594
_cell_length_c 16.873
_cell_angle_alpha 90.00
_cell_angle_beta 90.00
_cell_angle_gamma 120.00
loop_
_space_group_symop_operation_xyz
'x,y,z'
loop_
_atom_site_label
_atom_site_fract_x
_atom_site_fract_y
_atom_site_fract_z
_atom_site_occupancy
Cs1 0.333 0.667 0.043 1
Cs2 0.333 0.667 0.457 1
Cs3 0.333 0.667 0.750 1
Cs4 0.667 0.333 0.250 1
Cs5 0.667 0.333 0.543 1
Cs6 0.667 0.333 0.957 1
Mo1 0.000 0.000 0.136 1
Mo2 0.000 0.000 0.364 1
Mo3 0.000 0.000 0.636 1
Mo4 0.000 0.000 0.864 1
Br1 0.333 0.667 0.250 1
Br2 0.667 0.333 0.750 1
O1 0.000 0.000 0.250 1
O2 0.000 0.000 0.750 1
O3 0.145 0.290 0.599 1
O4 0.145 0.290 0.901 1
O5 0.145 0.855 0.599 1
O6 0.145 0.855 0.901 1
O7 0.290 0.145 0.099 1
O8 0.290 0.145 0.401 1
O9 0.710 0.855 0.599 1
O10 0.710 0.855 0.901 1
O11 0.855 0.145 0.099 1
O12 0.855 0.145 0.401 1
O13 0.855 0.710 0.099 1
O14 0.855 0.710 0.401 1


Record 2
# Cs2MoBr6O, relaxed, DFT GGA+U
# DFT total energy	-3.166	eV/atom
# space-group type	I4/mmm, No. 139
# crystal system	tetragonal
data_Cs2MoBr6O
_space_group_name_H-M_alt 'P 1'
_space_group_IT_number 1
_cell_length_a 8.127
_cell_length_b 8.127
_cell_length_c 8.127
_cell_angle_alpha 124.18
_cell_angle_beta 124.18
_cell_angle_gamma 82.90
loop_
_space_group_symop_operation_xyz
'x,y,z'
loop_
_atom_site_label
_atom_site_fract_x
_atom_site_fract_y
_atom_site_fract_z
_atom_site_occupancy
Cs1 0.250 0.750 0.500 1
Cs2 0.750 0.250 0.500 1
Mo1 0.000 0.000 0.000 1
Br1 0.215 0.215 0.000 1
Br2 0.240 0.240 0.480 1
Br3 0.240 0.760 0.000 1
Br4 0.760 0.240 0.000 1
Br5 0.760 0.760 0.520 1
Br6 0.785 0.785 0.000 1
O1 0.500 0.500 0.000 1